Material: CeNpPaSb
Method: DFT, PBE
State: relaxed

Cell: 5.2596 5.2596 5.2596 Å, 60.00 60.00 60.00°
With the nearest neighbours (Å) after each atom.
Element x y z (fractional)
Np1 0.0000 0.0000 0.0000  4 Ce 3.22, 4 Pa 3.22
Pa1 0.2500 0.2500 0.2500  4 Np 3.22, 4 Sb 3.22
Ce1 0.7500 0.7500 0.7500  4 Sb 3.22, 4 Np 3.22
Sb1 0.5000 0.5000 0.5000  4 Ce 3.22, 4 Pa 3.22

Formation energy from raw total energies in eV/atom: -0.03
Calculated total energy in eV per cell: -32.6
ρ in g cm⁻³: 11.781